This record from Alexandria describes an optimized crystal structure of LaTlGa4. The functional is PBE-GGA.

Calculated values
- E (eV/cell) = -20.88
- total magnetic moment (μB per atom) = 0.000
- Fermi-level density of states (states/eV per cell) = 5.5
- V (Å³/cell) = 134.9
- calculated formation energy (eV per atom) = -0.247
- crystal system = cubic

Cell: 5.757 5.757 5.757 Å, 60.00 60.00 60.00°
Fractional coordinates of all 6 atoms:
Ga1 0.625 0.125 0.625
Ga2 0.625 0.625 0.125
Ga3 0.625 0.625 0.625
Tl1 0.000 0.000 0.000
Ga4 0.125 0.625 0.625
La1 0.250 0.250 0.250

***

This record from Alexandria describes an optimized crystal structure of TaNbPd. The functional is PBE-GGA.

Calculated values
- E (eV/cell) = -55.84
- total magnetic moment (μB per atom) = 0.000
- Fermi-level density of states (states/eV per cell) = 4.7
- V (Å³/cell) = 103.4
- distance to the lowest polymorph of the same formula (meV/atom) = 0.0
- calculated formation energy (eV per atom) = -0.268
- crystal system = tetragonal

Cell: 3.312 3.312 9.425 Å, 90.00 90.00 90.00°
Fractional coordinates of all 6 atoms:
Pd1 0.500 0.000 0.086
Ta1 0.500 0.000 0.765
Nb1 0.500 0.000 0.416
Ta2 0.000 0.500 0.235
Nb2 0.000 0.500 0.584
Pd2 0.000 0.500 0.914

***

This record from Alexandria describes an optimized crystal structure of Ac2HgAu9. The functional is PBE-GGA.

Calculated values
- E (eV/cell) = -42.09
- total magnetic moment (μB per atom) = 0.000
- Fermi-level density of states (states/eV per cell) = 5.9
- V (Å³/cell) = 277.7
- calculated formation energy (eV per atom) = -0.339
- crystal system = trigonal

Cell: 6.027 6.027 9.491 Å, 71.49 71.49 60.00°
Fractional coordinates of all 12 atoms:
Au1 0.074 0.590 0.746
Au2 0.500 0.500 0.500
Au3 0.926 0.410 0.254
Au4 0.410 0.926 0.254
Au5 0.590 0.074 0.746
Au6 0.590 0.590 0.746
Au7 0.666 0.666 0.003
Ac1 0.868 0.868 0.397
Au8 0.334 0.334 0.997
Ac2 0.132 0.132 0.603
Au9 0.410 0.410 0.254
Hg1 0.000 0.000 0.000

***

This record from Alexandria describes an optimized crystal structure of Pa3GePd. The functional is PBE-GGA.

Calculated values
- E (eV/cell) = -79.62
- total magnetic moment (μB per atom) = 0.000
- Fermi-level density of states (states/eV per cell) = 17.8
- V (Å³/cell) = 227.9
- calculated formation energy (eV per atom) = -0.302
- crystal system = triclinic

Cell: 3.702 7.692 8.302 Å, 86.09 94.87 104.34°
Fractional coordinates of all 10 atoms:
Pa1 0.108 0.147 0.436
Pa2 0.646 0.255 0.799
Pa3 0.936 0.007 0.985
Pd1 0.219 0.486 0.619
Pa4 0.738 0.581 0.360
Ge1 0.637 0.266 0.159
Ge2 0.406 0.888 0.263
Pa5 0.306 0.573 0.062
Pa6 0.398 0.900 0.623
Pd2 0.825 0.668 0.802

***

This record from Alexandria describes an optimized crystal structure of Mg4Si3. The functional is PBE-GGA.

Calculated values
- E (eV/cell) = -44.58
- total magnetic moment (μB per atom) = 0.000
- energy relative to the elements, uncorrected (meV/atom) = 51
- Fermi-level density of states (states/eV per cell) = 3.8
- V (Å³/cell) = 272.5
- distance to the lowest polymorph of the same formula (meV/atom) = 83.5
- crystal system = triclinic

Cell: 4.812 7.342 8.019 Å, 93.11 94.43 104.66°
Fractional coordinates of all 14 atoms:
Mg1 0.003 0.903 0.868
Mg2 0.278 0.259 0.591
Si1 0.030 0.993 0.214
Mg3 0.466 0.859 0.127
Mg4 0.833 0.600 0.137
Si2 0.596 0.142 0.886
Mg5 0.202 0.304 0.020
Mg6 0.735 0.251 0.326
Mg7 0.159 0.825 0.487
Si3 0.723 0.063 0.612
Si4 0.413 0.633 0.834
Mg8 0.861 0.467 0.749
Si5 0.329 0.502 0.329
Si6 0.621 0.700 0.571

***

This record from Alexandria describes an optimized crystal structure of BaMgRh3. The functional is PBE-GGA.

Calculated values
- E (eV/cell) = -23.37
- total magnetic moment (μB per atom) = 0.287
- Fermi-level density of states (states/eV per cell) = 4.9
- V (Å³/cell) = 109.5
- distance to the lowest polymorph of the same formula (meV/atom) = 0.0
- calculated formation energy (eV per atom) = 0.440
- crystal system = cubic

Cell: 4.783 4.783 4.783 Å, 90.00 90.00 90.00°
Fractional coordinates of all 5 atoms:
Rh1 0.000 0.500 0.000
Mg1 0.000 0.000 0.000
Rh2 0.500 0.000 0.000
Ba1 0.500 0.500 0.500
Rh3 0.000 0.000 0.500

***

This record from Alexandria describes an optimized crystal structure of DyClO. The functional is PBE-GGA.

Calculated values
- E (eV/cell) = -20.21
- total magnetic moment (μB per atom) = 0.000
- energy relative to the elements, uncorrected (meV/atom) = -2934
- Fermi-level density of states (states/eV per cell) = 0.0
- V (Å³/cell) = 64.3
- crystal system = trigonal

Cell: 5.523 3.666 3.666 Å, 120.00 90.00 90.00°
Fractional coordinates of all 3 atoms:
Dy1 0.077 0.000 0.000
Cl1 0.741 0.667 0.333
O1 0.182 0.333 0.667

***

This record from Alexandria describes an optimized crystal structure of Rb2PBrCl6. The functional is PBE-GGA.

Calculated values
- E (eV/cell) = -29.58
- total magnetic moment (μB per atom) = 0.000
- energy relative to the elements, uncorrected (meV/atom) = -949
- Fermi-level density of states (states/eV per cell) = 0.0
- V (Å³/cell) = 293.5
- crystal system = tetragonal

Cell: 8.035 8.035 7.277 Å, 56.49 56.49 90.00°
Fractional coordinates of all 10 atoms:
Cl1 0.270 0.270 0.460
Rb1 0.750 0.250 0.500
Cl2 0.704 0.296 0.000
Cl3 0.296 0.704 0.000
P1 0.500 0.500 0.000
Rb2 0.250 0.750 0.500
Cl4 0.730 0.730 0.540
Cl5 0.704 0.704 0.000
Cl6 0.296 0.296 0.000
Br1 0.000 0.000 0.000

***

This record from Alexandria describes an optimized crystal structure of BC2. The functional is PBE-GGA.

Calculated values
- E (eV/cell) = -97.10
- total magnetic moment (μB per atom) = 0.000
- Fermi-level density of states (states/eV per cell) = 2.1
- V (Å³/cell) = 75.5
- distance to the lowest polymorph of the same formula (meV/atom) = 43.3
- calculated formation energy (eV per atom) = 0.283
- crystal system = monoclinic

Cell: 6.614 7.278 7.278 Å, 159.84 141.09 44.70°
Fractional coordinates of all 12 atoms:
C1 0.642 0.960 0.682
C2 0.151 0.451 0.700
C3 0.522 0.496 0.025
C4 0.637 0.614 0.023
B1 0.043 0.006 0.037
C5 0.988 0.678 0.310
B2 0.151 0.153 0.998
B3 0.474 0.139 0.335
C6 0.983 0.332 0.651
C7 0.103 0.795 0.308
C8 0.474 0.841 0.633
B4 0.582 0.286 0.296

***

This record from Alexandria describes an optimized crystal structure of BeOsRuW. The functional is PBE-GGA.

Calculated values
- E (eV/cell) = -37.73
- total magnetic moment (μB per atom) = 0.000
- Fermi-level density of states (states/eV per cell) = 0.8
- V (Å³/cell) = 54.5
- calculated formation energy (eV per atom) = -0.136
- crystal system = cubic

Cell: 4.255 4.255 4.255 Å, 60.00 60.00 60.00°
Fractional coordinates of all 4 atoms:
Os1 0.250 0.250 0.250
Be1 0.500 0.500 0.500
W1 0.000 0.000 0.000
Ru1 0.750 0.750 0.750

***

This record from Alexandria describes an optimized crystal structure of SrSiO2F. The functional is PBE-GGA.

Calculated values
- E (eV/cell) = -30.53
- total magnetic moment (μB per atom) = 0.000
- energy relative to the elements, uncorrected (meV/atom) = -2327
- Fermi-level density of states (states/eV per cell) = 0.9
- V (Å³/cell) = 62.7
- crystal system = tetragonal

Cell: 3.830 4.274 3.830 Å, 90.00 90.00 90.00°
Fractional coordinates of all 5 atoms:
F1 0.000 0.500 0.000
O1 0.000 0.000 0.500
O2 0.500 0.000 0.000
Sr1 0.500 0.500 0.500
Si1 0.000 0.000 0.000

***

This record from Alexandria describes an optimized crystal structure of CrC2. The functional is PBE-GGA.

Calculated values
- E (eV/cell) = -22.93
- total magnetic moment (μB per atom) = 0.196
- Fermi-level density of states (states/eV per cell) = 1.8
- V (Å³/cell) = 26.5
- distance to the lowest polymorph of the same formula (meV/atom) = 1219.2
- calculated formation energy (eV per atom) = 1.714
- crystal system = cubic

Cell: 3.347 3.347 3.347 Å, 60.00 60.00 60.00°
Fractional coordinates of all 3 atoms:
Cr1 0.000 0.000 0.000
C1 0.750 0.750 0.750
C2 0.250 0.250 0.250

***

Question: Number 2 is which compound?
Answer: TaNbPd

***

What did the first record say?
This record from Alexandria describes an optimized crystal structure of LaTlGa4. The functional is PBE-GGA.

Calculated values
- E (eV/cell) = -20.88
- total magnetic moment (μB per atom) = 0.000
- Fermi-level density of states (states/eV per cell) = 5.5
- V (Å³/cell) = 134.9
- calculated formation energy (eV per atom) = -0.247
- crystal system = cubic

Cell: 5.757 5.757 5.757 Å, 60.00 60.00 60.00°
Fractional coordinates of all 6 atoms:
Ga1 0.625 0.125 0.625
Ga2 0.625 0.625 0.125
Ga3 0.625 0.625 0.625
Tl1 0.000 0.000 0.000
Ga4 0.125 0.625 0.625
La1 0.250 0.250 0.250